The following is a DFT calculation (PBE) of CsHo2Te3 after structural relaxation.

Computed properties:
Its total magnetization is 0.00 μB per cell. Its raw total energy is -4.46 eV/atom.

Cell and atoms, written as POSCAR:
```
CsHo2Te3
1.0
2.351 -8.807 0.000
2.351 8.807 0.000
0.000 0.000 11.858
Cs Ho Te
2 4 6
Direct
0.244 0.756 0.750
0.756 0.244 0.250
0.034 0.966 0.250
0.500 0.500 0.000
0.500 0.500 0.500
0.966 0.034 0.750
0.119 0.881 0.040
0.119 0.881 0.460
0.435 0.565 0.250
0.565 0.435 0.750
0.881 0.119 0.540
0.881 0.119 0.960
```